[1]
Crystalline BaMn2Pt at its relaxed geometry, computed with PBE-GGA.

Cell: 3.352 3.352 7.930 Å, 90.00 90.00 90.00°
Fractional positions:
Ba 0.000 0.000 0.000
Mn 0.500 0.500 0.331
Mn 0.500 0.500 0.669
Pt 0.000 0.000 0.500

Computed properties:
- spin magnetization (μB/cell) = 8.4
- crystal system = tetragonal
- DFT formation energy (eV/atom) = 0.233
- SG = No. 123
- calculated volume (A^3/atom) = 22.280

[2]
Crystalline Ga2IrAu at its relaxed geometry, computed with PBE-GGA.

Cell: 10.460 10.460 10.460 Å, 15.30 15.30 15.30°
Fractional positions:
Ga 0.082 0.082 0.082
Ga 0.918 0.918 0.918
Ir 0.000 0.000 0.000
Au 0.500 0.500 0.500

Computed properties:
- spin magnetization (μB/cell) = 0.0
- crystal system = trigonal
- DFT formation energy (eV/atom) = 0.135
- SG = No. 166
- calculated volume (A^3/atom) = 17.361